PrNd3Ho2 (PBE-GGA, relaxed); formation energy = 0.0156 eV/atom; energy above the lowest structure with this stoichiometry = 0.000 eV/atom; DOS at the Fermi energy = 1.38 states/eV per atom; magnetization = 0.00 μB/cell; SG = Fddd
1.0
7.2655 0.0000 0.0001
-3.6328 4.4785 -2.5088
0.0001 0.8566 12.0251
Pr Nd Ho
2 6 4
Direct
0.1252 0.0000 0.2500
0.8748 0.0000 0.7500
0.3749 0.0000 0.7500
0.6251 0.0000 0.2500
0.9581 0.6662 0.9162
0.2919 0.3338 0.5838
0.7081 0.6662 0.4162
0.0419 0.3338 0.0838
0.2093 0.6683 0.4183
0.4590 0.6683 0.9183
0.5410 0.3317 0.0817
0.7907 0.3317 0.5817